# 1
{
  "formula": "AgBi2Sb",
  "functional": "PBE",
  "state": "optimized geometry",
  "lattice": [[4.164, 0.000, 0.000], [0.000, 5.154, 0.000], [0.000, 0.000, 5.154]],
  "species": ["Sb", "Bi", "Bi", "Ag"],
  "frac_coords": [[0.500, 0.500, 0.500], [0.000, 0.000, 0.500], [0.000, 0.500, 0.000], [0.500, 0.000, 0.000]],
  "sg": "P4/mmm (123)",
  "e_form_raw_ev_per_fu": 0.82
}



# 2
{
  "formula": "AgBiSb",
  "functional": "PBE",
  "state": "optimized geometry",
  "lattice": [[4.943, 0.000, 0.000], [2.472, 4.281, 0.000], [2.472, 1.427, 4.036]],
  "species": ["Sb", "Bi", "Ag"],
  "frac_coords": [[0.500, 0.500, 0.500], [0.000, 0.000, 0.000], [0.250, 0.250, 0.250]],
  "sg": "F-43m (216)",
  "e_form_raw_ev_per_fu": 0.31,
  "de_polymorph_mev_per_atom": 0.0
}